A plane-wave DFT calculation with PBEsol was carried out for a relaxed structure of TlIr2CSe.

POSCAR file:
```
TlIr2CSe
1.0
-2.923 1.768 -1.840
-3.096 -3.748 1.318
-1.177 2.461 4.235
Tl Ir C Se
1 2 1 1
Direct
0.000 0.000 0.000
0.000 0.000 0.500
0.000 0.500 0.000
0.500 0.000 0.000
0.500 0.500 0.500
```

Summary:
As for the uncorrected formation energy: 2.75 eV/atom. The value obtained for the total magnetization is 0.25 μB/f.u.